# 1
A geometry-optimized BeTe2Pt structure. Source: the Alexandria database, functional GGA-PBE.

abc: 3.7801 3.8259 6.0993
angles: 90.00 90.00 90.00
With the nearest neighbours (Å) after each atom.
Space group Pmmm (No. 47)
Inequivalent atoms, fractional coordinates:
Be1 0.0000 0.0000 0.0000 (multiplicity 1)  4 Te 2.69
Te1 0.0000 0.5000 0.5000 (multiplicity 1)  4 Pt 2.69
Te2 0.5000 0.5000 0.0000 (multiplicity 1)  4 Be 2.69
Pt1 0.5000 0.0000 0.5000 (multiplicity 1)  4 Te 2.69

## Properties
DFT total energy: -3.608 eV/atom

# 2
A geometry-optimized MnBiH2 structure. Source: the Alexandria database, functional GGA-PBE.

abc: 4.5429 4.5429 10.1377
angles: 90.00 90.00 90.00
With the nearest neighbours (Å) after each atom.
Space group I4_1/amd (No. 141, origin choice 2)
Inequivalent atoms, fractional coordinates:
Mn1 0.0000 0.2500 0.3750 (multiplicity 4)  4 H 1.70
Bi1 0.0000 0.2500 0.8750 (multiplicity 4)  8 H 2.84
H1 0.0000 0.0000 0.5000 (multiplicity 8)  2 Mn 1.70

## Properties
offset from the most stable computed form: 0.000 eV per atom
DFT total energy: -4.630 eV/atom

# 3
A geometry-optimized EuCu4Ag structure. Source: the Alexandria database, functional GGA-PBE.

abc: 7.2699 7.2699 7.2699
angles: 90.00 90.00 90.00
With the nearest neighbours (Å) after each atom.
Space group F-43m (No. 216)
Inequivalent atoms, fractional coordinates:
Eu1 0.0000 0.0000 0.0000 (multiplicity 4)  12 Cu 3.02, 4 Ag 3.15
Cu1 0.1239 0.1239 0.6239 (multiplicity 16)  6 Cu 2.55-2.59
Ag1 0.2500 0.2500 0.2500 (multiplicity 4)  12 Cu 3.01, 4 Eu 3.15

## Properties
calculated formation energy: -0.097 eV/atom
DFT total energy: -5.016 eV/atom

# 4
A geometry-optimized Cu2NiW structure. Source: the Alexandria database, functional GGA-PBE.

abc: 5.8700 5.8700 5.8700
angles: 90.00 90.00 90.00
With the nearest neighbours (Å) after each atom.
Space group F-43m (No. 216)
Inequivalent atoms, fractional coordinates:
Cu1 0.0000 0.0000 0.0000 (multiplicity 4)  4 Ni 2.54, 4 Cu 2.54
Cu2 0.2500 0.2500 0.2500 (multiplicity 4)  4 W 2.54, 4 Cu 2.54
Ni1 0.2500 0.2500 0.7500 (multiplicity 4)  4 W 2.54, 4 Cu 2.54
W1 0.0000 0.0000 0.5000 (multiplicity 4)  4 Ni 2.54, 4 Cu 2.54

## Properties
calculated formation energy: 0.243 eV/atom
offset from the most stable computed form: 0.136 eV per atom
DFT total energy: -6.488 eV/atom

# 5
A geometry-optimized NaSr4Tl12 structure. Source: the Alexandria database, functional GGA-PBE.

abc: 10.2620 10.2620 10.2620
angles: 90.00 90.00 90.00
With the nearest neighbours (Å) after each atom.
Space group Im-3m (No. 229)
Inequivalent atoms, fractional coordinates:
Na1 0.0000 0.0000 0.0000 (multiplicity 2)  6 Tl 3.11
Sr1 0.2500 0.2500 0.2500 (multiplicity 8)  12 Tl 3.63-3.67
Tl1 0.0000 0.0000 0.3029 (multiplicity 12)  1 Na 3.11, 4 Tl 3.27
Tl2 0.0000 0.2500 0.5000 (multiplicity 12)  8 Tl 3.27-3.63, 4 Sr 3.63

## Properties
calculated formation energy: -0.229 eV/atom
DFT total energy: -2.373 eV/atom

# 6
A geometry-optimized RbLiZnHSe structure. Source: the Alexandria database, functional GGA-PBE.

abc: 11.4246 4.4184 5.0007
angles: 90.00 106.74 90.00
With the nearest neighbours (Å) after each atom.
Space group Cm (No. 8)
Inequivalent atoms, fractional coordinates:
Rb1 0.0000 0.0000 0.0000 (multiplicity 2)  2 H 3.09, 3 Se 3.44
Li1 0.3314 0.0000 0.4143 (multiplicity 2)  1 H 1.95
Zn1 0.1687 0.5000 0.6629 (multiplicity 2)  1 H 1.75
H1 0.0088 0.5000 0.5750 (multiplicity 2)  1 Zn 1.75, 1 Li 1.95
Se1 0.2400 0.5000 0.2158 (multiplicity 2)  2 Li 2.52, 2 Zn 2.59-2.65

## Properties
offset from the most stable computed form: 0.021 eV per atom
DFT total energy: -2.663 eV/atom

# 7
A geometry-optimized PmCd2Hg5 structure. Source: the Alexandria database, functional GGA-PBE.

abc: 4.6432 4.6432 18.1392
angles: 90.00 90.00 90.00
With the nearest neighbours (Å) after each atom.
Space group I4/mmm (No. 139)
Inequivalent atoms, fractional coordinates:
Pm1 0.0000 0.0000 0.0000 (multiplicity 2)  12 Hg 3.28-3.30
Cd1 0.0000 0.0000 0.2473 (multiplicity 4)  8 Hg 3.16-3.22, 4 Cd 3.28
Hg1 0.0000 0.0000 0.5000 (multiplicity 2)  4 Pm 3.28, 8 Hg 3.30
Hg2 0.0000 0.5000 0.1293 (multiplicity 8)  4 Cd 3.16-3.22, 6 Hg 3.28-3.30, 2 Pm 3.30

## Properties
calculated formation energy: -0.187 eV/atom
offset from the most stable computed form: 0.000 eV per atom
DFT total energy: -1.198 eV/atom

# 8
A geometry-optimized HoTm3Hg4 structure. Source: the Alexandria database, functional GGA-PBE.

abc: 5.1812 5.1812 7.4365
angles: 90.00 90.00 90.00
With the nearest neighbours (Å) after each atom.
Space group P4/mmm (No. 123)
Inequivalent atoms, fractional coordinates:
Ho1 0.0000 0.0000 0.0000 (multiplicity 1)  8 Hg 3.20
Tm1 0.0000 0.0000 0.5000 (multiplicity 1)  8 Hg 3.18
Tm2 0.5000 0.5000 0.0000 (multiplicity 1)  8 Hg 3.20
Tm3 0.5000 0.5000 0.5000 (multiplicity 1)  8 Hg 3.18
Hg1 0.0000 0.5000 0.2524 (multiplicity 4)  6 Tm 3.18-3.20, 2 Ho 3.20

## Properties
calculated formation energy: -0.479 eV/atom
DFT total energy: -2.879 eV/atom

# 9
A geometry-optimized Cd4Sn structure. Source: the Alexandria database, functional GGA-PBE.

abc: 3.1523 4.8720 8.3621
angles: 105.50 99.25 90.49
With the nearest neighbours (Å) after each atom.
Space group P-1 (No. 2)
Inequivalent atoms, fractional coordinates:
Cd1 0.0948 0.1021 0.2005 (multiplicity 2)  6 Cd 3.00-3.33, 4 Sn 3.25-3.35
Cd2 0.2251 0.7134 0.4270 (multiplicity 2)  9 Cd 3.00-3.33
Sn1 0.5000 0.5000 0.0000 (multiplicity 1)  2 Sn 3.15, 8 Cd 3.25-3.35

## Properties
calculated formation energy: 0.062 eV/atom
offset from the most stable computed form: 0.000 eV per atom
DFT total energy: -1.470 eV/atom

# 10
A geometry-optimized TbInH structure. Source: the Alexandria database, functional GGA-PBE.

abc: 3.8712 4.4749 6.6937
angles: 90.00 106.80 90.00
With the nearest neighbours (Å) after each atom.
Space group P2_1/m (No. 11)
Inequivalent atoms, fractional coordinates:
Tb1 0.1700 0.2500 0.3382 (multiplicity 2)  4 H 2.24-2.43
In1 0.4329 0.2500 0.8679 (multiplicity 2)  2 In 2.81, 2 H 2.98-2.99
H1 0.2427 0.7500 0.4861 (multiplicity 2)  4 Tb 2.24-2.43

## Properties
offset from the most stable computed form: 0.000 eV per atom
DFT total energy: -4.092 eV/atom

# 11
A geometry-optimized NiPtRh3 structure. Source: the Alexandria database, functional GGA-PBE.

abc: 4.7615 4.7615 4.7615
angles: 90.00 90.00 90.00
With the nearest neighbours (Å) after each atom.
Space group Pm-3m (No. 221)
Inequivalent atoms, fractional coordinates:
Ni1 0.0000 0.0000 0.0000 (multiplicity 1)  12 Rh 3.37
Pt1 0.5000 0.5000 0.5000 (multiplicity 1)  6 Rh 2.38
Rh1 0.0000 0.5000 0.5000 (multiplicity 3)  2 Pt 2.38

## Properties
calculated formation energy: 1.758 eV/atom
offset from the most stable computed form: 1.766 eV per atom
DFT total energy: -5.017 eV/atom

# 12
A geometry-optimized Rb3Rh2F9 structure. Source: the Alexandria database, functional GGA-PBE.

abc: 10.4965 10.4965 15.6577
angles: 90.00 90.00 120.00
With the nearest neighbours (Å) after each atom.
Space group R-3c (No. 167, hexagonal axes)
Inequivalent atoms, fractional coordinates:
Rb1 0.0000 0.3492 0.2500 (multiplicity 18)  10 F 2.93-3.20
Rh1 0.0000 0.0000 0.1614 (multiplicity 12)  6 F 1.97-2.10
F1 0.0000 0.1497 0.7500 (multiplicity 18)  2 Rh 2.10
F2 0.0033 0.1604 0.4063 (multiplicity 36)  1 Rh 1.97

## Properties
DFT total energy: -4.573 eV/atom

# 13
A geometry-optimized Re3Os2 structure. Source: the Alexandria database, functional GGA-PBE.

abc: 11.9874 4.7094 7.3983
angles: 90.00 126.52 90.00
With the nearest neighbours (Å) after each atom.
Space group C2/c (No. 15)
Inequivalent atoms, fractional coordinates:
Re1 0.0000 0.1708 0.2500 (multiplicity 4)  6 Os 2.59-2.81, 4 Re 2.66-2.82
Re2 0.2257 0.4705 0.3885 (multiplicity 8)  2 Re 2.50-2.66, 3 Os 2.56-2.61
Os1 0.0658 0.3019 0.9700 (multiplicity 8)  6 Re 2.56-2.81, 2 Os 2.64-2.65

## Properties
calculated formation energy: 0.680 eV/atom
offset from the most stable computed form: 0.613 eV per atom
DFT total energy: -11.281 eV/atom

# 14
A geometry-optimized Eu2HgO4 structure. Source: the Alexandria database, functional GGA-PBE.

abc: 13.9569 3.7597 10.3261
angles: 90.00 121.84 90.00
With the nearest neighbours (Å) after each atom.
Space group C2/m (No. 12)
Inequivalent atoms, fractional coordinates:
Eu1 0.1205 0.0000 0.4568 (multiplicity 4)  7 O 2.34-2.51
Eu2 0.1635 0.5000 0.7988 (multiplicity 4)  7 O 2.30-2.57
Hg1 0.1146 0.5000 0.1630 (multiplicity 4)  2 O 2.02-2.03
O1 0.0362 0.5000 0.2808 (multiplicity 4)  1 Hg 2.02
O2 0.0824 0.0000 0.6520 (multiplicity 4)  4 Eu 2.30-2.43
O3 0.2038 0.5000 0.0591 (multiplicity 4)  1 Hg 2.03
O4 0.2320 0.5000 0.6118 (multiplicity 4)  4 Eu 2.43-2.57

## Properties
DFT total energy: -7.836 eV/atom

# 15
A geometry-optimized Cr2IrW structure. Source: the Alexandria database, functional GGA-PBE.

abc: 4.2312 4.2312 3.0863
angles: 90.00 90.00 90.00
With the nearest neighbours (Å) after each atom.
Space group P4/mmm (No. 123)
Inequivalent atoms, fractional coordinates:
Cr1 0.0000 0.5000 0.0000 (multiplicity 2)  4 W 2.62, 4 Ir 2.62
Ir1 0.0000 0.0000 0.5000 (multiplicity 1)  8 Cr 2.62
W1 0.5000 0.5000 0.5000 (multiplicity 1)  8 Cr 2.62

## Properties
calculated formation energy: 0.059 eV/atom
DFT total energy: -10.206 eV/atom

# 16
A geometry-optimized Ti5VIr6 structure. Source: the Alexandria database, functional GGA-PBE.

abc: 4.1606 7.0263 12.2373
angles: 90.00 90.00 90.00
With the nearest neighbours (Å) after each atom.
Space group Immm (No. 71)
Inequivalent atoms, fractional coordinates:
Ti1 0.0000 0.0000 0.0000 (multiplicity 2)  8 Ir 2.60-2.62
Ti2 0.0000 0.0000 0.3569 (multiplicity 4)  8 Ir 2.63-2.85, 2 V 2.72
Ti3 0.0000 0.5000 0.3164 (multiplicity 4)  8 Ir 2.62-2.73
V1 0.0000 0.5000 0.0000 (multiplicity 2)  4 Ti 2.72, 8 Ir 2.76-2.86
Ir1 0.0000 0.2342 0.1666 (multiplicity 8)  7 Ti 2.62-2.85, 1 V 2.76, 4 Ir 2.91-2.92
Ir2 0.0000 0.2789 0.5000 (multiplicity 4)  6 Ti 2.60-2.73, 2 V 2.86

## Properties
calculated formation energy: -0.813 eV/atom
DFT total energy: -9.293 eV/atom

# 17
A geometry-optimized CuPSe structure. Source: the Alexandria database, functional GGA-PBE.

abc: 2.7118 2.7118 15.7394
angles: 90.00 90.00 90.00
With the nearest neighbours (Å) after each atom.
Space group I4mm (No. 107)
Inequivalent atoms, fractional coordinates:
Cu1 0.0000 0.0000 0.0000 (multiplicity 2)  4 P 2.40
P1 0.0000 0.0000 0.5914 (multiplicity 2)  4 Cu 2.40
Se1 0.0000 0.0000 0.3195 (multiplicity 2)  4 Se 2.71

## Properties
DFT total energy: -4.001 eV/atom

# 18
A geometry-optimized ErTiMo4 structure. Source: the Alexandria database, functional GGA-PBE.

abc: 7.5979 7.5979 7.5979
angles: 90.00 90.00 90.00
With the nearest neighbours (Å) after each atom.
Space group F-43m (No. 216)
Inequivalent atoms, fractional coordinates:
Er1 0.0000 0.0000 0.0000 (multiplicity 4)  12 Mo 3.15, 4 Ti 3.29
Ti1 0.2500 0.2500 0.2500 (multiplicity 4)  12 Mo 3.15, 4 Er 3.29
Mo1 0.1250 0.1250 0.6250 (multiplicity 16)  6 Mo 2.69

## Properties
calculated formation energy: 0.059 eV/atom
DFT total energy: -9.238 eV/atom

# 19
A geometry-optimized Na4Cd2O structure. Source: the Alexandria database, functional GGA-PBE.

abc: 4.4498 4.4498 18.2105
angles: 90.00 90.00 90.00
With the nearest neighbours (Å) after each atom.
Space group I4/mmm (No. 139)
Inequivalent atoms, fractional coordinates:
Na1 0.0000 0.0000 0.1272 (multiplicity 4)  1 O 2.32
Na2 0.0000 0.5000 0.0000 (multiplicity 4)  2 O 2.22
Cd1 0.0000 0.0000 0.2967 (multiplicity 4)  5 Na 3.09-3.44
O1 0.0000 0.0000 0.0000 (multiplicity 2)  6 Na 2.22-2.32

## Properties
DFT total energy: -2.194 eV/atom

# 20
A geometry-optimized ReNi2As structure. Source: the Alexandria database, functional GGA-PBE.

abc: 8.2807 2.7242 4.6818
angles: 90.00 99.16 90.00
With the nearest neighbours (Å) after each atom.
Space group Cm (No. 8)
Inequivalent atoms, fractional coordinates:
Re1 0.0000 0.0000 0.0000 (multiplicity 2)  7 Ni 2.58-2.80, 3 As 2.61-2.68, 2 Re 2.72
Ni1 0.2458 0.5000 0.2543 (multiplicity 2)  5 Ni 2.48-2.72, 2 As 2.54, 3 Re 2.58
Ni2 0.4933 0.0000 0.4760 (multiplicity 2)  5 Ni 2.48-2.72, 3 As 2.48-2.59, 2 Re 2.62
As1 0.2459 0.0000 0.7129 (multiplicity 2)  5 Ni 2.48-2.59, 3 Re 2.61-2.68, 2 As 2.72

## Properties
calculated formation energy: 0.126 eV/atom
DFT total energy: -7.039 eV/atom

# 21
A geometry-optimized Sm3ErBi3 structure. Source: the Alexandria database, functional GGA-PBE.

abc: 9.5186 9.5186 9.5186
angles: 90.00 90.00 90.00
With the nearest neighbours (Å) after each atom.
Space group P2_13 (No. 198)
Inequivalent atoms, fractional coordinates:
Sm1 0.0683 0.4317 0.5683 (multiplicity 4)  6 Bi 3.21-3.40
Sm2 0.1758 0.8242 0.3242 (multiplicity 4)  6 Bi 3.19-3.41
Sm3 0.1779 0.1779 0.1779 (multiplicity 4)  6 Bi 3.19-3.44
Er1 0.0744 0.5744 0.9256 (multiplicity 4)  6 Bi 3.15-3.40
Bi1 0.0020 0.2557 0.8725 (multiplicity 12)  2 Er 3.15-3.40, 6 Sm 3.19-3.44

## Properties
calculated formation energy: -0.769 eV/atom
offset from the most stable computed form: 0.000 eV per atom
DFT total energy: -5.107 eV/atom

# 22
A geometry-optimized BaSnBr6 structure. Source: the Alexandria database, functional GGA-PBE.

abc: 7.2141 7.2141 19.9667
angles: 90.00 90.00 120.00
With the nearest neighbours (Å) after each atom.
Space group R-3 (No. 148, hexagonal axes)
Inequivalent atoms, fractional coordinates:
Ba1 0.0000 0.0000 0.0000 (multiplicity 3)  6 Br 3.32
Sn1 0.0000 0.0000 0.5000 (multiplicity 3)  6 Br 2.66
Br1 0.0103 0.3903 0.0907 (multiplicity 18)  1 Sn 2.66

## Properties
offset from the most stable computed form: 0.013 eV per atom
DFT total energy: -3.156 eV/atom

# 23
A geometry-optimized Rb2SrCa structure. Source: the Alexandria database, functional GGA-PBE.

abc: 11.5537 11.5537 8.3018
angles: 90.00 90.00 90.00
With the nearest neighbours (Å) after each atom.
Space group I-42d (No. 122)
Inequivalent atoms, fractional coordinates:
Rb1 0.2388 0.2500 0.1250 (multiplicity 8)  2 Ca 4.13, 2 Rb 4.16, 2 Sr 4.30
Sr1 0.0000 0.0000 0.5000 (multiplicity 4)  2 Ca 4.15, 4 Rb 4.30
Ca1 0.0000 0.0000 0.0000 (multiplicity 4)  4 Rb 4.13, 2 Sr 4.15

## Properties
calculated formation energy: 0.362 eV/atom
DFT total energy: -1.042 eV/atom